[1]
VASP calculation (PBE) on crystalline Pm4AgGe at its relaxed geometry. Values from VASP.

Computed properties:
- Magnetic moment: 0.00 Bohr magnetons per cell
- DOS(E_F): 9.58 states/eV per cell
- Theoretical density: 6.78 g/cm³
- Energy of formation: -1.2 eV/f.u.

Cell and atoms, written as Quantum ESPRESSO input:
```
&SYSTEM
  ibrav = 0, nat = 6, ntyp = 3
/
ATOMIC_SPECIES
Pm 145.00 Pm.upf
Ag 107.87 Ag.upf
Ge 72.64 Ge.upf
CELL_PARAMETERS angstrom
5.020 0.000 0.000
0.000 5.020 0.000
0.000 0.000 7.391
ATOMIC_POSITIONS crystal
Pm 0.000 0.500 0.243
Pm 0.000 0.500 0.757
Pm 0.500 0.000 0.243
Pm 0.500 0.000 0.757
Ag 0.000 0.000 0.500
Ge 0.500 0.500 0.000
```

***

[2]
VASP calculation (PBE) on crystalline Tb5Sm4Th2 at its relaxed geometry. Values from VASP.

Computed properties:
- Magnetic moment: 0.00 Bohr magnetons per cell
- DOS(E_F): 19.34 states/eV per cell
- Theoretical density: 8.42 g/cm³
- Energy of formation: 1.6 eV/f.u.

Cell and atoms, written as Quantum ESPRESSO input:
```
&SYSTEM
  ibrav = 0, nat = 11, ntyp = 3
/
ATOMIC_SPECIES
Tb 158.93 Tb.upf
Sm 150.36 Sm.upf
Th 232.04 Th.upf
CELL_PARAMETERS angstrom
8.889 0.000 0.000
0.000 3.493 0.000
-0.868 0.000 11.822
ATOMIC_POSITIONS crystal
Tb 0.000 0.000 0.000
Tb 0.075 0.000 0.287
Tb 0.301 0.000 0.835
Tb 0.699 0.000 0.165
Tb 0.925 0.000 0.713
Sm 0.194 0.500 0.545
Sm 0.343 0.500 0.106
Sm 0.657 0.500 0.894
Sm 0.806 0.500 0.455
Th 0.461 0.000 0.368
Th 0.539 0.000 0.632
```